(1)
Density functional theory data (PBE-GGA) for crystalline HgBi3W at its relaxed geometry.

## Properties
SG: Pm-3m
ΔE_f, eV/f.u.: 3.33
Distance to the lowest polymorph of the same formula, meV per atom: 0

POSCAR file:
```
HgBi3W
1.0
5.4469 0.0000 0.0000
0.0000 5.4469 0.0000
0.0000 0.0000 5.4469
Hg Bi W
1 3 1
Cartesian
0.0000 0.0000 0.0000
0.0000 2.7235 2.7235
2.7235 0.0000 2.7235
2.7235 2.7235 0.0000
2.7235 2.7235 2.7235
```

***

(2)
Density functional theory data (PBE-GGA) for crystalline Hg3BiW at its relaxed geometry.

## Properties
SG: Pm-3m
ΔE_f, eV/f.u.: 5.35
Distance to the lowest polymorph of the same formula, meV per atom: 0

POSCAR file:
```
Hg3BiW
1.0
5.3127 0.0000 0.0000
0.0000 5.3127 0.0000
0.0000 0.0000 5.3127
Hg Bi W
3 1 1
Cartesian
0.0000 0.0000 2.6564
0.0000 2.6564 0.0000
2.6564 0.0000 0.0000
2.6564 2.6564 2.6564
0.0000 0.0000 0.0000
```

***

(3)
Density functional theory data (PBE-GGA) for crystalline Hg2BiW at its relaxed geometry.

## Properties
SG: I-42d
ΔE_f, eV/f.u.: 3.97

POSCAR file:
```
Hg2BiW
1.0
-4.3417 4.3417 2.7420
4.3417 -4.3417 2.7420
4.3417 4.3417 -2.7420
Hg Bi W
4 2 2
Cartesian
6.5125 1.6307 -0.6855
1.6307 2.1708 0.6855
-2.1708 2.7110 2.0565
2.7110 2.1708 3.4275
4.3417 0.0000 1.3710
0.0000 0.0000 2.7420
0.0000 0.0000 0.0000
0.0000 4.3417 1.3710
```

***

(4)
Density functional theory data (PBE-GGA) for crystalline HgBi3W at its relaxed geometry.

## Properties
SG: Pm-3m
ΔE_f, eV/f.u.: 8.71
Distance to the lowest polymorph of the same formula, meV per atom: 1075

POSCAR file:
```
HgBi3W
1.0
5.6032 0.0000 0.0000
0.0000 5.6032 0.0000
0.0000 0.0000 5.6032
Hg Bi W
1 3 1
Cartesian
0.0000 0.0000 0.0000
0.0000 0.0000 2.8016
0.0000 2.8016 0.0000
2.8016 0.0000 0.0000
2.8016 2.8016 2.8016
```